{
  "formula": "CaNi2O4",
  "functional": "PBE+U",
  "state": "relaxed",
  "total_energy_ev_per_cell": -72.1,
  "volume_a3_per_cell": 173.0,
  "sg": "P-1 (2)",
  "e_above_lowest_polymorph_mev_per_atom": 98,
  "lattice": [[3.2282, 0.0000, 0.0000], [-1.2530, 6.9238, 0.0000], [-0.4406, -3.0187, 7.7379]],
  "species": ["Ca", "Ca", "Ni", "Ni", "Ni", "Ni", "O", "O", "O", "O", "O", "O", "O", "O"],
  "fractional_positions": [[0.2243, 0.4090, 0.1492], [0.7757, 0.5910, 0.8508], [0.1338, 0.3115, 0.4766], [0.4667, 0.9078, 0.2628], [0.5333, 0.0922, 0.7372], [0.8662, 0.6885, 0.5234], [0.0301, 0.0638, 0.2816], [0.2541, 0.5835, 0.6411], [0.3444, 0.6984, 0.0552], [0.4228, 0.7596, 0.4090], [0.5772, 0.2404, 0.5910], [0.6556, 0.3016, 0.9448], [0.7459, 0.4165, 0.3589], [0.9699, 0.9362, 0.7184]]
}